## CrO3F3 (PBE+U)

Data for crystalline CrO3F3 at its relaxed geometry.

```
data_CrO3F3
_space_group_name_H-M_alt 'P 1'
_space_group_IT_number 1
_cell_length_a 5.223
_cell_length_b 5.483
_cell_length_c 5.492
_cell_angle_alpha 93.63
_cell_angle_beta 113.16
_cell_angle_gamma 109.31
loop_
_space_group_symop_operation_xyz
'x,y,z'
loop_
_atom_site_label
_atom_site_type_symbol
_atom_site_fract_x
_atom_site_fract_y
_atom_site_fract_z
_atom_site_occupancy
Cr1 Cr 0.000 0.000 0.000 1
O1 O 0.183 0.868 0.216 1
O2 O 0.193 0.310 0.087 1
O3 O 0.663 0.231 0.602 1
F1 F 0.539 0.354 0.724 1
F2 F 0.660 0.932 0.020 1
F3 F 0.964 0.871 0.686 1
```

Calculated values
* V: 133 Å³/cell
* calculated density: 1960 kg/m³
* energy: -34.242 eV for the cell shown
* E above lowest polymorph: 125 meV per atom
* crystal system: triclinic
* density of states at the Fermi level: 0.07 states/eV/f.u.
* M_tot: 0.143 μB/atom